Entry 1:
A plane-wave DFT calculation with GGA-PBE was carried out for an optimized crystal structure of ThCdPb6.

Computed properties:
E = -31.0 eV per cell
symmetry = Cmmm (65)
energy of formation from the pure elements = -49.2 meV/atom

Cell lengths 6.947, 6.947, 4.930 Å; angles 90.00, 90.00, 90.17 degrees
Fractional coordinates of all 8 atoms:
Th: 0.000 0.000 0.000
Cd: 0.500 0.500 0.000
Pb: 0.000 0.500 0.000
Pb: 0.256 0.744 0.500
Pb: 0.257 0.257 0.500
Pb: 0.500 0.000 0.000
Pb: 0.743 0.743 0.500
Pb: 0.744 0.256 0.500

***

Entry 2:
A plane-wave DFT calculation with GGA-PBE was carried out for an optimized crystal structure of ThCd11Pb.

Computed properties:
E = -21.1 eV per cell
symmetry = C2/m (12)
energy of formation from the pure elements = 8.3 meV/atom

Cell lengths 7.782, 7.782, 7.572 Å; angles 99.49, 99.49, 131.61 degrees
Fractional coordinates of all 13 atoms:
Th: 0.000 0.000 0.000
Cd: 0.000 0.500 0.000
Cd: 0.007 0.364 0.349
Cd: 0.310 0.525 0.792
Cd: 0.364 0.007 0.349
Cd: 0.475 0.690 0.208
Cd: 0.500 0.000 0.000
Cd: 0.500 0.500 0.500
Cd: 0.525 0.310 0.792
Cd: 0.636 0.993 0.651
Cd: 0.690 0.475 0.208
Cd: 0.993 0.636 0.651
Pb: 0.000 0.000 0.500

***

Which of these has the lowest energy of formation from the pure elements?
ThCdPb6

***

Repeat the second record exactly.
A plane-wave DFT calculation with GGA-PBE was carried out for an optimized crystal structure of ThCd11Pb.

Computed properties:
E = -21.1 eV per cell
symmetry = C2/m (12)
energy of formation from the pure elements = 8.3 meV/atom

Cell lengths 7.782, 7.782, 7.572 Å; angles 99.49, 99.49, 131.61 degrees
Fractional coordinates of all 13 atoms:
Th: 0.000 0.000 0.000
Cd: 0.000 0.500 0.000
Cd: 0.007 0.364 0.349
Cd: 0.310 0.525 0.792
Cd: 0.364 0.007 0.349
Cd: 0.475 0.690 0.208
Cd: 0.500 0.000 0.000
Cd: 0.500 0.500 0.500
Cd: 0.525 0.310 0.792
Cd: 0.636 0.993 0.651
Cd: 0.690 0.475 0.208
Cd: 0.993 0.636 0.651
Pb: 0.000 0.000 0.500

***

energy of formation from the pure elements of number 2 (ThCd11Pb)?
8.3 meV/atom

***

What did the first record say?
A plane-wave DFT calculation with GGA-PBE was carried out for an optimized crystal structure of ThCdPb6.

Computed properties:
E = -31.0 eV per cell
symmetry = Cmmm (65)
energy of formation from the pure elements = -49.2 meV/atom

Cell lengths 6.947, 6.947, 4.930 Å; angles 90.00, 90.00, 90.17 degrees
Fractional coordinates of all 8 atoms:
Th: 0.000 0.000 0.000
Cd: 0.500 0.500 0.000
Pb: 0.000 0.500 0.000
Pb: 0.256 0.744 0.500
Pb: 0.257 0.257 0.500
Pb: 0.500 0.000 0.000
Pb: 0.743 0.743 0.500
Pb: 0.744 0.256 0.500